(1)
Compound: Pm2HoCu6
Source: Alexandria
Functional: PBE
Structure: relaxed

Results
**DOS at the Fermi energy**: 5.70 states/eV/f.u.
**Energy of formation**: -0.0878 eV per atom
**V**: 352.3 Å³/cell

a b c (Å): 3.552 7.275 13.632
angles (deg): 90.00 90.00 90.00
Space group Immm (No. 71)
Unique sites:
Pm  0.000  0.000  0.144 (multiplicity 4)
Ho  0.000  0.500  0.000 (multiplicity 2)
Cu  0.000  0.171  0.336 (multiplicity 8)
Cu  0.000  0.320  0.500 (multiplicity 4)

(2)
Compound: BaZn2Rh2
Source: Alexandria
Functional: PBE
Structure: relaxed

Results
**DOS at the Fermi energy**: 2.59 states/eV/f.u.
**Energy of formation**: -0.3009 eV per atom
**V**: 429.8 Å³/cell

a b c (Å): 5.848 10.916 7.334
angles (deg): 90.00 113.35 90.00
Space group C2/c (No. 15)
Unique sites:
Ba  0.000  0.125  0.250 (multiplicity 4)
Zn  0.000  0.183  0.750 (multiplicity 4)
Zn  0.000  0.433  0.250 (multiplicity 4)
Rh  0.109  0.375  0.967 (multiplicity 8)

(3)
Compound: LaPmTlNi
Source: Alexandria
Functional: PBE
Structure: relaxed

Results
**DOS at the Fermi energy**: 4.32 states/eV/f.u.
**Energy of formation**: -0.1835 eV per atom
**V**: 426.6 Å³/cell

a b c (Å): 7.528 7.528 7.528
angles (deg): 90.00 90.00 90.00
Space group F-43m (No. 216)
Unique sites:
La  0.000  0.000  0.000 (multiplicity 4)
Pm  0.000  0.000  0.500 (multiplicity 4)
Tl  0.250  0.250  0.250 (multiplicity 4)
Ni  0.250  0.250  0.750 (multiplicity 4)

(4)
Compound: VI2Br6
Source: Alexandria
Functional: PBE
Structure: relaxed

Results
**ΔE_f (raw)**: -372 kJ/mol of formula units
**DOS at the Fermi energy**: 6.86 states/eV/f.u.
**V**: 2512.2 Å³/cell

a b c (Å): 15.390 19.998 8.543
angles (deg): 90.00 107.16 90.00
Space group C2/c (No. 15)
Unique sites:
V  0.000  0.144  0.250 (multiplicity 4)
I  0.145  0.413  0.490 (multiplicity 8)
Br  0.084  0.077  0.129 (multiplicity 8)
Br  0.097  0.210  0.445 (multiplicity 8)
Br  0.145  0.500  0.240 (multiplicity 8)